# 1
A plane-wave DFT calculation with PBE-GGA was carried out for MgCdS2 after structural relaxation.

Cell lengths 6.5381, 3.7688, 6.3346 Å; angles 90.00, 90.12, 90.00 degrees
With the nearest neighbours (Å) after each atom.
Fractional coordinates of all 8 atoms:
Mg 0.0000 0.0000 0.0000  6 S 2.64
Mg 0.5000 0.5000 0.0000  6 S 2.64
Cd 0.0000 0.0000 0.5000  6 S 2.74-2.75
Cd 0.5000 0.5000 0.5000  6 S 2.74-2.75
S 0.1667 0.5000 0.7643  3 Mg 2.64, 3 Cd 2.74-2.75
S 0.3333 0.0000 0.2357  3 Mg 2.64, 3 Cd 2.74-2.75
S 0.6667 0.0000 0.7643  3 Mg 2.64, 3 Cd 2.74-2.75
S 0.8333 0.5000 0.2357  3 Mg 2.64, 3 Cd 2.74-2.75

Summary:
Electronic total energy: -3.6161 eV/atom
Uncorrected formation energy: -89 kJ per mole of atoms
Total moment: 0.000 μB/f.u.
Mass density: 4.27 g/cm³
Space group: C2/m (12)
Density of states at the Fermi level: 0.00 states/eV per cell
Crystal system: monoclinic

# 2
A plane-wave DFT calculation with PBE-GGA was carried out for MgCdS2 after structural relaxation.

Cell lengths 3.7921, 6.5795, 6.5891 Å; angles 99.60, 90.01, 106.75 degrees
With the nearest neighbours (Å) after each atom.
Fractional coordinates of all 8 atoms:
Mg 0.1222 0.2432 0.3747  6 S 2.64-2.67
Mg 0.8778 0.7568 0.6253  6 S 2.64-2.67
Cd 0.3716 0.7423 0.1244  6 S 2.71-2.73
Cd 0.6284 0.2577 0.8756  6 S 2.71-2.73
S 0.0000 0.0000 0.0000  2 Mg 2.67, 4 Cd 2.71-2.72
S 0.2547 0.5086 0.7351  3 Mg 2.64-2.66, 3 Cd 2.73
S 0.5000 0.0000 0.5000  4 Mg 2.66, 2 Cd 2.71
S 0.7453 0.4914 0.2649  3 Mg 2.64-2.66, 3 Cd 2.73

Summary:
Electronic total energy: -3.6397 eV/atom
Uncorrected formation energy: -92 kJ per mole of atoms
Total moment: 0.000 μB/f.u.
Mass density: 4.30 g/cm³
Space group: P-1 (2)
Density of states at the Fermi level: 0.00 states/eV per cell
Crystal system: triclinic

# 3
A plane-wave DFT calculation with PBE-GGA was carried out for MgCdS2 after structural relaxation.

Cell lengths 3.9313, 3.9313, 6.6011 Å; angles 90.00, 90.00, 120.00 degrees
With the nearest neighbours (Å) after each atom.
Fractional coordinates of all 4 atoms:
Mg 0.0000 0.0000 0.0000  3 S 2.49
Cd 0.3333 0.6667 0.4714  4 S 2.47-2.61
S 0.3333 0.6667 0.8457  1 Cd 2.47, 3 Mg 2.49
S 0.6667 0.3333 0.2772  3 Cd 2.61, 3 Mg 2.92

Summary:
Electronic total energy: -3.6432 eV/atom
Uncorrected formation energy: -92 kJ per mole of atoms
Total moment: 0.000 μB/f.u.
Mass density: 3.77 g/cm³
Space group: P3m1 (156)
Density of states at the Fermi level: 0.00 states/eV per cell
Crystal system: trigonal

# 4
A plane-wave DFT calculation with PBE-GGA was carried out for MgCdS2 after structural relaxation.

Cell lengths 6.9165, 6.9165, 6.5024 Å; angles 90.00, 90.00, 90.00 degrees
With the nearest neighbours (Å) after each atom.
Fractional coordinates of all 16 atoms:
Mg 0.0000 0.5000 0.2500  4 S 2.48
Mg 0.0000 0.5000 0.7500  4 S 2.48
Mg 0.5000 0.0000 0.2500  4 S 2.48
Mg 0.5000 0.0000 0.7500  4 S 2.48
Cd 0.0000 0.0000 0.2500  8 S 2.99, 2 Cd 3.25
Cd 0.0000 0.0000 0.7500  8 S 2.99, 2 Cd 3.25
Cd 0.5000 0.5000 0.2500  8 S 2.99, 2 Cd 3.25
Cd 0.5000 0.5000 0.7500  8 S 2.99, 2 Cd 3.25
S 0.1912 0.3088 0.0000  2 Mg 2.48
S 0.1912 0.6912 0.5000  2 Mg 2.48
S 0.3088 0.1912 0.5000  2 Mg 2.48
S 0.3088 0.8088 0.0000  2 Mg 2.48
S 0.6912 0.1912 0.0000  2 Mg 2.48
S 0.6912 0.8088 0.5000  2 Mg 2.48
S 0.8088 0.3088 0.5000  2 Mg 2.48
S 0.8088 0.6912 0.0000  2 Mg 2.48

Summary:
Electronic total energy: -3.3549 eV/atom
Uncorrected formation energy: -64 kJ per mole of atoms
Total moment: 0.000 μB/f.u.
Mass density: 4.29 g/cm³
Space group: I4/mcm (140)
Density of states at the Fermi level: 0.43 states/eV per cell
Crystal system: tetragonal

# 5
A plane-wave DFT calculation with PBE-GGA was carried out for MgCdS2 after structural relaxation.

Cell lengths 4.1126, 4.1126, 20.1029 Å; angles 90.00, 90.00, 120.00 degrees
With the nearest neighbours (Å) after each atom.
Fractional coordinates of all 12 atoms:
Mg 0.0000 0.0000 0.0000  4 S 2.46-2.49
Mg 0.3333 0.6667 0.6667  4 S 2.46-2.49
Mg 0.6667 0.3333 0.3333  4 S 2.46-2.49
Cd 0.0000 0.0000 0.5022  4 S 2.55-2.57
Cd 0.3333 0.6667 0.1688  4 S 2.55-2.57
Cd 0.6667 0.3333 0.8355  4 S 2.55-2.57
S 0.0000 0.0000 0.1226  1 Mg 2.46, 3 Cd 2.55
S 0.0000 0.0000 0.6298  3 Mg 2.49, 1 Cd 2.57
S 0.3333 0.6667 0.2964  3 Mg 2.49, 1 Cd 2.57
S 0.3333 0.6667 0.7892  1 Mg 2.46, 3 Cd 2.55
S 0.6667 0.3333 0.4559  1 Mg 2.46, 3 Cd 2.55
S 0.6667 0.3333 0.9631  3 Mg 2.49, 1 Cd 2.57

Summary:
Electronic total energy: -3.7149 eV/atom
Uncorrected formation energy: -99 kJ per mole of atoms
Total moment: 0.000 μB/f.u.
Mass density: 3.40 g/cm³
Space group: R3m (160)
Density of states at the Fermi level: 0.00 states/eV per cell
Crystal system: trigonal

# 6
A plane-wave DFT calculation with PBE-GGA was carried out for MgCdS2 after structural relaxation.

Cell lengths 7.6978, 7.6978, 12.4961 Å; angles 93.70, 93.70, 108.28 degrees
With the nearest neighbours (Å) after each atom.
Fractional coordinates of all 32 atoms:
Mg 0.0715 0.8944 0.8924  5 S 2.52-2.63
Mg 0.1056 0.9285 0.6076  5 S 2.52-2.63
Mg 0.1463 0.4548 0.6222  5 S 2.55-2.71
Mg 0.4548 0.1463 0.1222  5 S 2.55-2.71
Mg 0.5452 0.8537 0.8778  5 S 2.55-2.71
Mg 0.8537 0.5452 0.3778  5 S 2.55-2.71
Mg 0.8944 0.0715 0.3924  5 S 2.52-2.63
Mg 0.9285 0.1056 0.1076  5 S 2.52-2.63
Cd 0.0197 0.6631 0.1204  4 S 2.50-2.64
Cd 0.2894 0.4543 0.3548  4 S 2.49-2.65
Cd 0.3369 0.9803 0.3796  4 S 2.50-2.64
Cd 0.4543 0.2894 0.8548  4 S 2.49-2.65
Cd 0.5457 0.7106 0.1452  4 S 2.49-2.65
Cd 0.6631 0.0197 0.6204  4 S 2.50-2.64
Cd 0.7106 0.5457 0.6452  4 S 2.49-2.65
Cd 0.9803 0.3369 0.8796  4 S 2.50-2.64
S 0.0074 0.6017 0.7683  2 Cd 2.50-2.57, 2 Mg 2.55
S 0.0524 0.9476 0.2500  2 Mg 2.52, 2 Cd 2.57
S 0.1959 0.6904 0.4802  3 Mg 2.58-2.71, 2 Cd 2.60-2.62
S 0.2093 0.2189 0.9985  3 Mg 2.58-2.62, 2 Cd 2.64-2.65
S 0.2189 0.2093 0.4985  3 Mg 2.58-2.62, 2 Cd 2.64-2.65
S 0.3096 0.8041 0.0198  3 Mg 2.58-2.71, 2 Cd 2.60-2.62
S 0.3983 0.9926 0.7317  2 Cd 2.50-2.57, 2 Mg 2.55
S 0.4479 0.5521 0.7500  2 Cd 2.49, 2 Mg 2.60
S 0.5521 0.4479 0.2500  2 Cd 2.49, 2 Mg 2.60
S 0.6017 0.0074 0.2683  2 Cd 2.50-2.57, 2 Mg 2.55
S 0.6904 0.1959 0.9802  3 Mg 2.58-2.71, 2 Cd 2.60-2.62
S 0.7811 0.7907 0.5015  3 Mg 2.58-2.62, 2 Cd 2.64-2.65
S 0.7907 0.7811 0.0015  3 Mg 2.58-2.62, 2 Cd 2.64-2.65
S 0.8041 0.3096 0.5198  3 Mg 2.58-2.71, 2 Cd 2.60-2.62
S 0.9476 0.0524 0.7500  2 Mg 2.52, 2 Cd 2.57
S 0.9926 0.3983 0.2317  2 Cd 2.50-2.57, 2 Mg 2.55

Summary:
Electronic total energy: -3.5906 eV/atom
Uncorrected formation energy: -87 kJ per mole of atoms
Total moment: 0.000 μB/f.u.
Mass density: 3.82 g/cm³
Space group: C2/c (15)
Density of states at the Fermi level: 0.00 states/eV per cell
Crystal system: monoclinic

Repeat the second record exactly.
A plane-wave DFT calculation with PBE-GGA was carried out for MgCdS2 after structural relaxation.

Cell lengths 3.7921, 6.5795, 6.5891 Å; angles 99.60, 90.01, 106.75 degrees
With the nearest neighbours (Å) after each atom.
Fractional coordinates of all 8 atoms:
Mg 0.1222 0.2432 0.3747  6 S 2.64-2.67
Mg 0.8778 0.7568 0.6253  6 S 2.64-2.67
Cd 0.3716 0.7423 0.1244  6 S 2.71-2.73
Cd 0.6284 0.2577 0.8756  6 S 2.71-2.73
S 0.0000 0.0000 0.0000  2 Mg 2.67, 4 Cd 2.71-2.72
S 0.2547 0.5086 0.7351  3 Mg 2.64-2.66, 3 Cd 2.73
S 0.5000 0.0000 0.5000  4 Mg 2.66, 2 Cd 2.71
S 0.7453 0.4914 0.2649  3 Mg 2.64-2.66, 3 Cd 2.73

Summary:
Electronic total energy: -3.6397 eV/atom
Uncorrected formation energy: -92 kJ per mole of atoms
Total moment: 0.000 μB/f.u.
Mass density: 4.30 g/cm³
Space group: P-1 (2)
Density of states at the Fermi level: 0.00 states/eV per cell
Crystal system: triclinic

Please write out number 1 again, unchanged.
A plane-wave DFT calculation with PBE-GGA was carried out for MgCdS2 after structural relaxation.

Cell lengths 6.5381, 3.7688, 6.3346 Å; angles 90.00, 90.12, 90.00 degrees
With the nearest neighbours (Å) after each atom.
Fractional coordinates of all 8 atoms:
Mg 0.0000 0.0000 0.0000  6 S 2.64
Mg 0.5000 0.5000 0.0000  6 S 2.64
Cd 0.0000 0.0000 0.5000  6 S 2.74-2.75
Cd 0.5000 0.5000 0.5000  6 S 2.74-2.75
S 0.1667 0.5000 0.7643  3 Mg 2.64, 3 Cd 2.74-2.75
S 0.3333 0.0000 0.2357  3 Mg 2.64, 3 Cd 2.74-2.75
S 0.6667 0.0000 0.7643  3 Mg 2.64, 3 Cd 2.74-2.75
S 0.8333 0.5000 0.2357  3 Mg 2.64, 3 Cd 2.74-2.75

Summary:
Electronic total energy: -3.6161 eV/atom
Uncorrected formation energy: -89 kJ per mole of atoms
Total moment: 0.000 μB/f.u.
Mass density: 4.27 g/cm³
Space group: C2/m (12)
Density of states at the Fermi level: 0.00 states/eV per cell
Crystal system: monoclinic

Q: What is the uncorrected formation energy in the fifth record?
A: -99 kJ per mole of atoms

Q: Which formula does entry 6 have?
A: MgCdS2